Entry 1:
Computed, not measured: crystalline Co2PAu at its relaxed geometry at the PBE-GGA level of DFT.

Computed properties:
excess energy over the best structure of this formula in the dataset = 37.39 kJ per mole of atoms
calculated volume = 52 Å³/cell

a = 3.9269 Å, b = 3.9269 Å, c = 3.3545 Å
α = 90.00°, β = 90.00°, γ = 90.00°
Atoms (fractional coordinates):
Co (0.0000, 0.5000, 0.0000)
Co (0.5000, 0.0000, 0.0000)
P (0.0000, 0.0000, 0.5000)
Au (0.5000, 0.5000, 0.5000)

Entry 2:
Computed, not measured: crystalline Co2PAu at its relaxed geometry at the PBE-GGA level of DFT.

Computed properties:
excess energy over the best structure of this formula in the dataset = 0.33 kJ per mole of atoms
calculated volume = 50 Å³/cell

a = 2.7463 Å, b = 2.7463 Å, c = 6.6132 Å
α = 90.00°, β = 90.00°, γ = 90.00°
Atoms (fractional coordinates):
Co (0.0000, 0.0000, 0.1885)
Co (0.0000, 0.0000, 0.8115)
P (0.5000, 0.5000, 0.0000)
Au (0.5000, 0.5000, 0.5000)

Entry 3:
Computed, not measured: crystalline CoP2Au at its relaxed geometry at the PBE-GGA level of DFT.

Computed properties:
excess energy over the best structure of this formula in the dataset = 45.49 kJ per mole of atoms
calculated volume = 61 Å³/cell

a = 3.7908 Å, b = 3.2409 Å, c = 5.0203 Å
α = 90.00°, β = 99.56°, γ = 90.00°
Atoms (fractional coordinates):
Co (0.0000, 0.0000, 0.0000)
P (0.0000, 0.0000, 0.5000)
P (0.5000, 0.5000, 0.0000)
Au (0.5000, 0.5000, 0.5000)

Entry 4:
Computed, not measured: crystalline CoPAu2 at its relaxed geometry at the PBE-GGA level of DFT.

Computed properties:
excess energy over the best structure of this formula in the dataset = 35.41 kJ per mole of atoms
calculated volume = 64 Å³/cell

a = 2.7886 Å, b = 2.7886 Å, c = 8.2290 Å
α = 90.00°, β = 90.00°, γ = 90.00°
Atoms (fractional coordinates):
Co (0.0000, 0.0000, 0.0000)
P (0.0000, 0.0000, 0.5000)
Au (0.5000, 0.5000, 0.2310)
Au (0.5000, 0.5000, 0.7690)

Entry 5:
Computed, not measured: crystalline CoP2Au at its relaxed geometry at the PBE-GGA level of DFT.

Computed properties:
excess energy over the best structure of this formula in the dataset = 27.51 kJ per mole of atoms
calculated volume = 59 Å³/cell

a = 3.9618 Å, b = 3.3182 Å, c = 4.8603 Å
α = 90.00°, β = 112.07°, γ = 90.00°
Atoms (fractional coordinates):
Co (0.0000, 0.0000, 0.0000)
P (0.1121, 0.5000, 0.7339)
P (0.4567, 0.0000, 0.6383)
Au (0.6279, 0.5000, 0.2437)

Entry 6:
Computed, not measured: crystalline CoP2Au at its relaxed geometry at the PBE-GGA level of DFT.

Computed properties:
excess energy over the best structure of this formula in the dataset = 21.97 kJ per mole of atoms
calculated volume = 64 Å³/cell

a = 2.6954 Å, b = 3.4993 Å, c = 6.7861 Å
α = 90.00°, β = 90.00°, γ = 90.00°
Atoms (fractional coordinates):
Co (0.0000, 0.0000, 0.0000)
P (0.0000, 0.0000, 0.3160)
P (0.5000, 0.5000, 0.9038)
Au (0.5000, 0.5000, 0.5408)

no.,uncorrected energy (eV/cell)
1,-21.9
2,-23.4
3,-20.0
4,-17.5
5,-20.7
6,-20.9